Entry from Alexandria via LeMat-Bulk: VZnAu after structural relaxation (PBE-GGA).

Properties
N(E_F): 3.524 states/eV/cell
total magnetic moment: 0.3394 μB/atom
V: 52.32 Å³ per cell
E_form: 1.1 eV per formula unit

abc: 7.5057 7.5057 7.5057
angles: 159.40 159.40 29.30
Fractional coordinates of all 3 atoms:
V1 0.0000 0.0000 0.0000
Zn1 0.1768 0.1768 0.0000
Au1 0.3556 0.3556 0.0000

---

Entry from Alexandria via LeMat-Bulk: Mn3In5N12 after structural relaxation (PBE-GGA).

Properties
N(E_F): 34.397 states/eV/cell
total magnetic moment: 0.3441 μB/atom
ΔE_f (raw): 28.8 kJ/mol of atoms
V: 1776.83 Å³ per cell

abc: 13.2157 13.2157 13.2157
angles: 109.47 109.47 109.47
Fractional coordinates of all 80 atoms:
Mn1 0.1250 0.2500 0.3750
Mn2 0.1250 0.3750 0.7500
Mn3 0.2500 0.3750 0.1250
Mn4 0.2500 0.8750 0.6250
Mn5 0.3750 0.1250 0.2500
Mn6 0.3750 0.7500 0.1250
Mn7 0.6250 0.2500 0.8750
Mn8 0.6250 0.8750 0.7500
Mn9 0.7500 0.1250 0.3750
Mn10 0.7500 0.6250 0.8750
Mn11 0.8750 0.6250 0.2500
Mn12 0.8750 0.7500 0.6250
In1 0.0000 0.0000 0.0000
In2 0.0000 0.0000 0.5000
In3 0.0000 0.5000 0.0000
In4 0.0000 0.5000 0.5000
In5 0.1250 0.7500 0.8750
In6 0.1250 0.8750 0.2500
In7 0.2500 0.1250 0.8750
In8 0.2500 0.6250 0.3750
In9 0.3750 0.2500 0.6250
In10 0.3750 0.6250 0.7500
In11 0.5000 0.0000 0.0000
In12 0.5000 0.0000 0.5000
In13 0.5000 0.5000 0.0000
In14 0.5000 0.5000 0.5000
In15 0.6250 0.3750 0.2500
In16 0.6250 0.7500 0.3750
In17 0.7500 0.3750 0.6250
In18 0.7500 0.8750 0.1250
In19 0.8750 0.1250 0.7500
In20 0.8750 0.2500 0.1250
N1 0.0412 0.7147 0.3644
N2 0.0412 0.8265 0.6769
N3 0.1356 0.7853 0.4588
N4 0.1356 0.8504 0.6769
N5 0.1496 0.3231 0.8644
N6 0.1496 0.3265 0.2853
N7 0.1735 0.3231 0.9588
N8 0.1735 0.3504 0.2147
N9 0.1769 0.3265 0.5412
N10 0.1769 0.3504 0.6356
N11 0.2147 0.1735 0.3504
N12 0.2147 0.5412 0.8644
N13 0.2853 0.1496 0.3265
N14 0.2853 0.6356 0.9588
N15 0.3231 0.8644 0.1496
N16 0.3231 0.9588 0.1735
N17 0.3265 0.2853 0.1496
N18 0.3265 0.5412 0.1769
N19 0.3504 0.2147 0.1735
N20 0.3504 0.6356 0.1769
N21 0.3644 0.0412 0.7147
N22 0.3644 0.8231 0.6496
N23 0.4588 0.1356 0.7853
N24 0.4588 0.8231 0.6735
N25 0.5412 0.1769 0.3265
N26 0.5412 0.8644 0.2147
N27 0.6356 0.1769 0.3504
N28 0.6356 0.9588 0.2853
N29 0.6496 0.3644 0.8231
N30 0.6496 0.7853 0.8265
N31 0.6735 0.4588 0.8231
N32 0.6735 0.7147 0.8504
N33 0.6769 0.0412 0.8265
N34 0.6769 0.1356 0.8504
N35 0.7147 0.3644 0.0412
N36 0.7147 0.8504 0.6735
N37 0.7853 0.4588 0.1356
N38 0.7853 0.8265 0.6496
N39 0.8231 0.6496 0.3644
N40 0.8231 0.6735 0.4588
N41 0.8265 0.6496 0.7853
N42 0.8265 0.6769 0.0412
N43 0.8504 0.6735 0.7147
N44 0.8504 0.6769 0.1356
N45 0.8644 0.1496 0.3231
N46 0.8644 0.2147 0.5412
N47 0.9588 0.1735 0.3231
N48 0.9588 0.2853 0.6356

---

Entry from Alexandria via LeMat-Bulk: Tl6ReCl12 after structural relaxation (PBE-GGA).

Properties
N(E_F): 11.149 states/eV/cell
total magnetic moment: 0.0465 μB/atom
ΔE_f (raw): -79.3 kJ/mol of atoms
V: 664.58 Å³ per cell

abc: 8.7864 8.7864 8.7864
angles: 96.40 96.40 96.40
Fractional coordinates of all 19 atoms:
Tl1 0.1504 0.6616 0.8434
Tl2 0.1566 0.8496 0.3384
Tl3 0.3384 0.1566 0.8496
Tl4 0.6616 0.8434 0.1504
Tl5 0.8434 0.1504 0.6616
Tl6 0.8496 0.3384 0.1566
Re1 0.5000 0.5000 0.5000
Cl1 0.0732 0.3230 0.9265
Cl2 0.0735 0.9268 0.6770
Cl3 0.2344 0.5075 0.4613
Cl4 0.3230 0.9265 0.0732
Cl5 0.4613 0.2344 0.5075
Cl6 0.4925 0.5387 0.7656
Cl7 0.5075 0.4613 0.2344
Cl8 0.5387 0.7656 0.4925
Cl9 0.6770 0.0735 0.9268
Cl10 0.7656 0.4925 0.5387
Cl11 0.9265 0.0732 0.3230
Cl12 0.9268 0.6770 0.0735

---

Entry from Alexandria via LeMat-Bulk: UIn6Cl12 after structural relaxation (PBE-GGA).

Properties
N(E_F): 22.344 states/eV/cell
total magnetic moment: 0.0559 μB/atom
ΔE_f (raw): -102.9 kJ/mol of atoms
V: 668.50 Å³ per cell

abc: 8.8810 8.8810 8.8810
angles: 99.42 99.42 99.42
Fractional coordinates of all 19 atoms:
U1 0.0000 0.0000 0.0000
In1 0.1669 0.3429 0.6204
In2 0.3429 0.6204 0.1669
In3 0.3796 0.8331 0.6571
In4 0.6204 0.1669 0.3429
In5 0.6571 0.3796 0.8331
In6 0.8331 0.6571 0.3796
Cl1 0.0130 0.9318 0.7136
Cl2 0.0682 0.2864 0.9870
Cl3 0.1839 0.5649 0.4236
Cl4 0.2864 0.9870 0.0682
Cl5 0.4236 0.1839 0.5649
Cl6 0.4351 0.5764 0.8161
Cl7 0.5649 0.4236 0.1839
Cl8 0.5764 0.8161 0.4351
Cl9 0.7136 0.0130 0.9318
Cl10 0.8161 0.4351 0.5764
Cl11 0.9318 0.7136 0.0130
Cl12 0.9870 0.0682 0.2864

---

Entry from Alexandria via LeMat-Bulk: RbErTl2I6 after structural relaxation (PBE-GGA).

Properties
N(E_F): 0.000 states/eV/cell
total magnetic moment: 0.0000 μB/atom
ΔE_f (raw): -107.6 kJ/mol of atoms
V: 498.47 Å³ per cell

abc: 9.1285 9.1285 9.1285
angles: 56.82 56.82 56.82
Fractional coordinates of all 10 atoms:
Rb1 0.0000 0.0000 0.0000
Er1 0.4896 0.4896 0.4896
Tl1 0.2938 0.2938 0.2938
Tl2 0.8066 0.8066 0.8066
I1 0.1287 0.6812 0.4132
I2 0.2607 0.5894 0.8379
I3 0.4132 0.1287 0.6812
I4 0.5894 0.8379 0.2607
I5 0.6812 0.4132 0.1287
I6 0.8379 0.2607 0.5894

---

Entry from Alexandria via LeMat-Bulk: CaNd2Rh after structural relaxation (PBE-GGA).

Properties
N(E_F): 4.434 states/eV/cell
ΔE to the lowest computed polymorph: 47 meV per atom
total magnetic moment: 0.0002 μB/atom
V: 138.31 Å³ per cell
E_form: -1.3 eV per formula unit

abc: 9.7581 9.7581 9.7581
angles: 24.30 24.30 24.30
Fractional coordinates of all 4 atoms:
Ca1 0.0000 0.0000 0.0000
Nd1 0.2228 0.2228 0.2228
Nd2 0.4473 0.4473 0.4473
Rh1 0.8352 0.8352 0.8352